First-principles (PBE) data for a relaxed structure of NaSm2SnSe4, as listed in Alexandria via LeMat-Bulk. Values from VASP.

```
&SYSTEM
  ibrav = 0, nat = 16, ntyp = 4
/
ATOMIC_SPECIES
Na 22.99 Na.upf
Sm 150.36 Sm.upf
Sn 118.71 Sn.upf
Se 78.96 Se.upf
CELL_PARAMETERS angstrom
-4.2304 4.2701 5.9841
4.2304 -4.2701 5.9841
4.2304 4.2701 -5.9841
ATOMIC_POSITIONS angstrom
Na -2.1152 2.1351 2.9920
Na 2.1152 2.1351 2.9920
Sm 0.0000 0.0000 0.0000
Sm 2.1152 2.1351 -2.9920
Sm 2.1152 -2.1351 2.9920
Sm 0.0000 4.2701 0.0000
Sn 4.2304 0.0000 0.0000
Sn 0.0000 0.0000 5.9841
Se 4.2304 4.2082 -3.0277
Se 4.2304 -0.0619 3.0277
Se 2.0738 2.1351 -0.0167
Se 2.1566 -2.1351 5.9674
Se 2.0738 6.4052 0.0167
Se 2.1566 2.1351 6.0007
Se 0.0000 4.3320 2.9564
Se 0.0000 0.0619 9.0117
```

* total magnetization: 0.00 μB per cell
* DOS at the Fermi energy: 6.85 states/eV/cell
* calculated total energy: -79.16 eV/cell
* energy relative to the elements, uncorrected: -10.881 eV/f.u.

First-principles (PBE) data for a relaxed structure of NaSm2Sn3Se6, as listed in Alexandria via LeMat-Bulk. Values from VASP.

```
&SYSTEM
  ibrav = 0, nat = 12, ntyp = 4
/
ATOMIC_SPECIES
Na 22.99 Na.upf
Sm 150.36 Sm.upf
Sn 118.71 Sn.upf
Se 78.96 Se.upf
CELL_PARAMETERS angstrom
9.3249 -2.1835 0.0000
9.3249 2.1835 0.0000
-2.0631 0.0000 8.2165
ATOMIC_POSITIONS angstrom
Na 0.0000 0.0000 0.0000
Sm 4.8439 0.0000 5.5074
Sm 11.7429 0.0000 2.7091
Sn -1.0315 0.0000 4.1082
Sn 6.0589 0.0000 1.1835
Sn 10.5278 0.0000 7.0329
Se 1.9756 0.0000 4.6938
Se 3.0261 0.0000 0.7428
Se 7.6612 0.0000 6.1309
Se 8.9256 0.0000 2.0856
Se 13.5607 0.0000 7.4737
Se 14.6111 0.0000 3.5227
```

* total magnetization: 0.00 μB per cell
* DOS at the Fermi energy: 2.92 states/eV/cell
* calculated total energy: -55.83 eV/cell
* energy relative to the elements, uncorrected: -12.155 eV/f.u.

First-principles (PBE) data for a relaxed structure of Na4Sm3SnSe8, as listed in Alexandria via LeMat-Bulk. Values from VASP.

```
&SYSTEM
  ibrav = 0, nat = 16, ntyp = 4
/
ATOMIC_SPECIES
Na 22.99 Na.upf
Sm 150.36 Sm.upf
Sn 118.71 Sn.upf
Se 78.96 Se.upf
CELL_PARAMETERS angstrom
4.2147 2.4334 7.0148
-4.2147 2.4334 7.0148
0.0000 -4.8667 7.0148
ATOMIC_POSITIONS angstrom
Na 0.0000 0.0000 0.0000
Na -2.1074 -1.2167 7.0148
Na -2.1074 1.2167 14.0296
Na 0.0000 2.4334 7.0148
Sm -4.2147 0.0000 10.5222
Sm -2.1074 1.2167 3.5074
Sm 2.1074 1.2167 3.5074
Sn 0.0000 0.0000 10.5222
Se 0.0000 0.0000 5.1510
Se -2.0756 -1.1983 12.1460
Se 0.0000 -2.3967 8.8984
Se -2.0756 1.1983 8.8984
Se 2.0756 -1.1983 12.1460
Se 0.0000 2.3967 12.1460
Se 2.0756 1.1983 8.8984
Se 0.0000 0.0000 15.8935
```

* total magnetization: 0.00 μB per cell
* DOS at the Fermi energy: 1.65 states/eV/cell
* calculated total energy: -74.26 eV/cell
* energy relative to the elements, uncorrected: -22.950 eV/f.u.

First-principles (PBE) data for a relaxed structure of Na3Sm3SnSe8, as listed in Alexandria via LeMat-Bulk. Values from VASP.

```
&SYSTEM
  ibrav = 0, nat = 15, ntyp = 4
/
ATOMIC_SPECIES
Na 22.99 Na.upf
Sm 150.36 Sm.upf
Sn 118.71 Sn.upf
Se 78.96 Se.upf
CELL_PARAMETERS angstrom
4.1766 2.4114 7.0998
-4.1766 2.4114 7.0998
0.0000 -4.8227 7.0998
ATOMIC_POSITIONS angstrom
Na -2.0883 -1.2057 7.0998
Na -2.0883 1.2057 14.1995
Na 0.0000 2.4114 7.0998
Sm -4.1766 0.0000 10.6497
Sm -2.0883 1.2057 3.5499
Sm 2.0883 1.2057 3.5499
Sn 0.0000 0.0000 10.6497
Se 0.0000 0.0000 5.1954
Se -1.9708 -1.1378 12.2501
Se 0.0000 -2.2757 9.0492
Se -1.9708 1.1379 9.0492
Se 1.9708 -1.1379 12.2501
Se 0.0000 2.2757 12.2501
Se 1.9708 1.1379 9.0492
Se 0.0000 0.0000 16.1039
```

* total magnetization: 0.00 μB per cell
* DOS at the Fermi energy: 1.23 states/eV/cell
* calculated total energy: -70.91 eV/cell
* energy relative to the elements, uncorrected: -20.917 eV/f.u.

First-principles (PBE) data for a relaxed structure of NaSr2SmSe4, as listed in Alexandria via LeMat-Bulk. Values from VASP.

```
&SYSTEM
  ibrav = 0, nat = 8, ntyp = 4
/
ATOMIC_SPECIES
Na 22.99 Na.upf
Sr 87.62 Sr.upf
Sm 150.36 Sm.upf
Se 78.96 Se.upf
CELL_PARAMETERS angstrom
7.4700 0.0000 0.0000
0.0000 4.3532 0.0000
-2.4140 0.0000 7.1166
ATOMIC_POSITIONS angstrom
Na 0.0000 0.0000 0.0000
Sr 2.5280 0.0000 3.5583
Sr 3.7350 2.1766 0.0000
Sm -1.2070 2.1766 3.5583
Se -0.0399 0.0000 5.2586
Se 1.1726 2.1766 1.8372
Se 3.8834 2.1766 5.2794
Se 5.0960 0.0000 1.8580
```

* total magnetization: 0.00 μB per cell
* calculated total energy: -38.09 eV/cell
* energy relative to the elements, uncorrected: -14.752 eV/f.u.

First-principles (PBE) data for a relaxed structure of NaTbSm4Se8, as listed in Alexandria via LeMat-Bulk. Values from VASP.

```
&SYSTEM
  ibrav = 0, nat = 14, ntyp = 4
/
ATOMIC_SPECIES
Na 22.99 Na.upf
Tb 158.93 Tb.upf
Sm 150.36 Sm.upf
Se 78.96 Se.upf
CELL_PARAMETERS angstrom
4.3116 2.4893 6.9873
-4.3116 2.4893 6.9873
0.0000 -4.9786 6.9873
ATOMIC_POSITIONS angstrom
Na 0.0000 0.0000 0.0000
Tb 0.0000 0.0000 13.1838
Sm -2.2356 -1.2907 9.5549
Sm 0.0000 0.0000 5.2055
Sm 2.2356 -1.2907 9.5549
Sm 0.0000 2.5814 9.5549
Se 0.0000 0.0000 8.0072
Se 0.0000 -2.3056 11.3024
Se -1.9967 1.1528 11.3024
Se -1.9764 -1.1411 14.8673
Se 1.9967 1.1528 11.3024
Se 1.9764 -1.1411 14.8673
Se 0.0000 2.2822 14.8673
Se 0.0000 0.0000 18.1288
```

* total magnetization: 0.00 μB per cell
* DOS at the Fermi energy: 0.00 states/eV/cell
* calculated total energy: -77.43 eV/cell
* energy relative to the elements, uncorrected: -24.724 eV/f.u.

First-principles (PBE) data for a relaxed structure of Na2TbSmSe4, as listed in Alexandria via LeMat-Bulk. Values from VASP.

```
&SYSTEM
  ibrav = 0, nat = 8, ntyp = 4
/
ATOMIC_SPECIES
Na 22.99 Na.upf
Tb 158.93 Tb.upf
Sm 150.36 Sm.upf
Se 78.96 Se.upf
CELL_PARAMETERS angstrom
7.2698 0.0000 0.0000
0.0000 4.1979 0.0000
-2.4223 0.0000 7.0151
ATOMIC_POSITIONS angstrom
Na 0.0000 0.0000 0.0000
Na 3.6349 2.0989 0.0000
Tb -1.2112 2.0989 3.5076
Sm 2.4237 0.0000 3.5076
Se -0.0255 0.0000 5.1284
Se 1.1857 2.0989 1.8743
Se 3.6618 2.0989 5.1408
Se 4.8730 0.0000 1.8868
```

* total magnetization: 0.00 μB per cell
* DOS at the Fermi energy: 0.00 states/eV/cell
* calculated total energy: -39.53 eV/cell
* energy relative to the elements, uncorrected: -13.605 eV/f.u.

First-principles (PBE) data for a relaxed structure of Na3Tb2SmSe6, as listed in Alexandria via LeMat-Bulk. Values from VASP.

```
&SYSTEM
  ibrav = 0, nat = 12, ntyp = 4
/
ATOMIC_SPECIES
Na 22.99 Na.upf
Tb 158.93 Tb.upf
Sm 150.36 Sm.upf
Se 78.96 Se.upf
CELL_PARAMETERS angstrom
3.6257 -6.2806 0.0000
3.6257 6.2806 0.0000
-2.4183 0.0000 7.0089
ATOMIC_POSITIONS angstrom
Na 0.0000 0.0000 0.0000
Na 3.6257 2.0859 0.0000
Na 3.6257 -2.0859 0.0000
Tb 2.4166 4.1858 3.5045
Tb 2.4166 -4.1858 3.5045
Sm 2.4166 0.0000 3.5045
Se 1.1935 2.1184 1.8830
Se -0.0300 0.0000 5.1281
Se 1.1935 -2.1184 1.8830
Se 3.6397 2.1184 5.1260
Se 4.8632 0.0000 1.8808
Se 3.6397 -2.1184 5.1260
```

* total magnetization: 0.00 μB per cell
* DOS at the Fermi energy: 0.00 states/eV/cell
* calculated total energy: -59.28 eV/cell
* energy relative to the elements, uncorrected: -20.440 eV/f.u.

First-principles (PBE) data for a relaxed structure of NaTb3Sm3Se8, as listed in Alexandria via LeMat-Bulk. Values from VASP.

```
&SYSTEM
  ibrav = 0, nat = 15, ntyp = 4
/
ATOMIC_SPECIES
Na 22.99 Na.upf
Tb 158.93 Tb.upf
Sm 150.36 Sm.upf
Se 78.96 Se.upf
CELL_PARAMETERS angstrom
4.1174 2.3772 6.7399
-4.1174 2.3772 6.7399
0.0000 -4.7543 6.7399
ATOMIC_POSITIONS angstrom
Na 0.0000 0.0000 0.0000
Tb -2.0587 -1.1886 6.7399
Tb -2.0587 1.1886 13.4799
Tb 0.0000 2.3772 6.7399
Sm -4.1174 0.0000 10.1099
Sm -2.0587 1.1886 3.3700
Sm 2.0587 1.1886 3.3700
Se 0.0000 0.0000 5.0949
Se 0.0000 -2.3248 8.4204
Se -2.0133 1.1624 8.4204
Se -2.0133 -1.1624 11.7994
Se 2.0133 1.1624 8.4204
Se 2.0133 -1.1624 11.7994
Se 0.0000 2.3248 11.7994
Se 0.0000 0.0000 15.1249
```

* total magnetization: 0.00 μB per cell
* DOS at the Fermi energy: 4.50 states/eV/cell
* calculated total energy: -84.21 eV/cell
* energy relative to the elements, uncorrected: -26.971 eV/f.u.

First-principles (PBE) data for a relaxed structure of Na2Tb3SmSe6, as listed in Alexandria via LeMat-Bulk. Values from VASP.

```
&SYSTEM
  ibrav = 0, nat = 12, ntyp = 4
/
ATOMIC_SPECIES
Na 22.99 Na.upf
Tb 158.93 Tb.upf
Sm 150.36 Sm.upf
Se 78.96 Se.upf
CELL_PARAMETERS angstrom
3.5797 -6.1938 0.0000
3.5797 6.1938 0.0000
-2.3817 0.0000 6.8394
ATOMIC_POSITIONS angstrom
Na 3.5797 4.1356 0.0000
Na 3.5797 -4.1356 0.0000
Tb -1.1908 0.0000 3.4197
Tb 2.3889 2.0846 3.4197
Tb 2.3889 -2.0846 3.4197
Sm 3.5797 0.0000 0.0000
Se 0.0069 2.0585 5.0905
Se 1.2056 0.0000 1.7710
Se 0.0069 -2.0585 5.0905
Se 4.7709 2.0585 1.7489
Se 3.5722 0.0000 5.0684
Se 4.7709 -2.0585 1.7489
```

* total magnetization: 0.00 μB per cell
* DOS at the Fermi energy: 3.04 states/eV/cell
* calculated total energy: -62.94 eV/cell
* energy relative to the elements, uncorrected: -20.788 eV/f.u.

First-principles (PBE) data for a relaxed structure of NaTb4SmSe8, as listed in Alexandria via LeMat-Bulk. Values from VASP.

```
&SYSTEM
  ibrav = 0, nat = 14, ntyp = 4
/
ATOMIC_SPECIES
Na 22.99 Na.upf
Tb 158.93 Tb.upf
Sm 150.36 Sm.upf
Se 78.96 Se.upf
CELL_PARAMETERS angstrom
4.2489 2.4531 6.9944
-4.2489 2.4531 6.9944
0.0000 -4.9062 6.9944
ATOMIC_POSITIONS angstrom
Na 0.0000 0.0000 0.0000
Tb -2.2053 -1.2732 9.6102
Tb 0.0000 0.0000 5.2830
Tb 2.2053 -1.2732 9.6102
Tb 0.0000 2.5465 9.6102
Sm 0.0000 0.0000 13.2389
Se 0.0000 -2.3133 11.3118
Se -2.0034 1.1566 11.3118
Se 0.0000 0.0000 8.0667
Se -1.9713 -1.1381 14.9882
Se 2.0034 1.1566 11.3118
Se 0.0000 0.0000 18.1689
Se 1.9713 -1.1381 14.9882
Se 0.0000 2.2763 14.9882
```

* total magnetization: 0.00 μB per cell
* DOS at the Fermi energy: 0.00 states/eV/cell
* calculated total energy: -77.21 eV/cell
* energy relative to the elements, uncorrected: -24.776 eV/f.u.

First-principles (PBE) data for a relaxed structure of NaTb3Sm2Se6, as listed in Alexandria via LeMat-Bulk. Values from VASP.

```
&SYSTEM
  ibrav = 0, nat = 12, ntyp = 4
/
ATOMIC_SPECIES
Na 22.99 Na.upf
Tb 158.93 Tb.upf
Sm 150.36 Sm.upf
Se 78.96 Se.upf
CELL_PARAMETERS angstrom
9.0417 -2.0596 0.0000
9.0417 2.0596 0.0000
-1.9406 0.0000 8.0907
ATOMIC_POSITIONS angstrom
Na 0.0000 0.0000 0.0000
Tb -0.9703 0.0000 4.0454
Tb 5.7130 0.0000 1.3986
Tb 10.4298 0.0000 6.6921
Sm 4.6930 0.0000 5.3192
Sm 11.4498 0.0000 2.7715
Se 1.8090 0.0000 4.7572
Se 2.8844 0.0000 0.6366
Se 8.5495 0.0000 2.0510
Se 7.5933 0.0000 6.0397
Se 13.2585 0.0000 7.4541
Se 14.3338 0.0000 3.3335
```

* total magnetization: 0.00 μB per cell
* DOS at the Fermi energy: 3.69 states/eV/cell
* calculated total energy: -66.86 eV/cell
* energy relative to the elements, uncorrected: -21.301 eV/f.u.

Repeat the sixth record exactly.
First-principles (PBE) data for a relaxed structure of NaTbSm4Se8, as listed in Alexandria via LeMat-Bulk. Values from VASP.

```
&SYSTEM
  ibrav = 0, nat = 14, ntyp = 4
/
ATOMIC_SPECIES
Na 22.99 Na.upf
Tb 158.93 Tb.upf
Sm 150.36 Sm.upf
Se 78.96 Se.upf
CELL_PARAMETERS angstrom
4.3116 2.4893 6.9873
-4.3116 2.4893 6.9873
0.0000 -4.9786 6.9873
ATOMIC_POSITIONS angstrom
Na 0.0000 0.0000 0.0000
Tb 0.0000 0.0000 13.1838
Sm -2.2356 -1.2907 9.5549
Sm 0.0000 0.0000 5.2055
Sm 2.2356 -1.2907 9.5549
Sm 0.0000 2.5814 9.5549
Se 0.0000 0.0000 8.0072
Se 0.0000 -2.3056 11.3024
Se -1.9967 1.1528 11.3024
Se -1.9764 -1.1411 14.8673
Se 1.9967 1.1528 11.3024
Se 1.9764 -1.1411 14.8673
Se 0.0000 2.2822 14.8673
Se 0.0000 0.0000 18.1288
```

* total magnetization: 0.00 μB per cell
* DOS at the Fermi energy: 0.00 states/eV/cell
* calculated total energy: -77.43 eV/cell
* energy relative to the elements, uncorrected: -24.724 eV/f.u.

> Among the records above, which one has the highest energy relative to the elements, uncorrected?

NaSm2SnSe4